No. 1
Below is a geometry-optimized CaAlH4Cl structure, with properties calculated at the PBE level.

Cell: 9.728 6.965 6.651 Å, 90.00 104.53 90.00°
Space group C2/m (No. 12)
Symmetry-distinct sites (fractional):
Ca  0.214  0.000  0.125 (multiplicity 4)
Al  0.128  0.500  0.258 (multiplicity 4)
H  0.043  0.500  0.796 (multiplicity 4)
H  0.184  0.324  0.133 (multiplicity 8)
H  0.199  0.500  0.505 (multiplicity 4)
Cl  0.026  0.000  0.754 (multiplicity 4)

Results
calculated density: 1.62 Mg/m³
DFT total energy: -3.615 eV per atom

No. 2
Below is a geometry-optimized TaZn2Rh2 structure, with properties calculated at the PBE level.

Cell: 7.092 7.092 3.015 Å, 90.00 90.00 90.00°
Space group P4/mbm (No. 127)
Symmetry-distinct sites (fractional):
Ta  0.000  0.000  0.000 (multiplicity 2)
Zn  0.152  0.348  0.500 (multiplicity 4)
Rh  0.145  0.645  0.000 (multiplicity 4)

Results
calculated density: 11.34 Mg/m³
offset from the most stable computed form: 0.146 eV/atom
DFT total energy: -6.046 eV per atom

No. 3
Below is a geometry-optimized CaTl4Au structure, with properties calculated at the PBE level.

Cell: 8.950 8.950 8.950 Å, 90.00 90.00 90.00°
Space group F-43m (No. 216)
Symmetry-distinct sites (fractional):
Ca  0.000  0.000  0.000 (multiplicity 4)
Tl  0.125  0.125  0.625 (multiplicity 16)
Au  0.250  0.250  0.250 (multiplicity 4)

Results
calculated density: 9.77 Mg/m³
DFT total energy: -2.406 eV per atom

No. 4
Below is a geometry-optimized Zr2GaC structure, with properties calculated at the PBE level.

Cell: 6.388 6.388 6.388 Å, 90.00 90.00 90.00°
Space group Fm-3m (No. 225)
Symmetry-distinct sites (fractional):
Zr  0.250  0.250  0.250 (multiplicity 8)
Ga  0.000  0.000  0.000 (multiplicity 4)
C  0.000  0.000  0.500 (multiplicity 4)

Results
calculated density: 6.73 Mg/m³
DFT total energy: -6.876 eV per atom

No. 5
Below is a geometry-optimized Zr5Ga3 structure, with properties calculated at the PBE level.

Cell: 10.940 10.940 5.393 Å, 90.00 90.00 90.00°
Space group I4/mcm (No. 140)
Symmetry-distinct sites (fractional):
Zr  0.000  0.500  0.250 (multiplicity 4)
Zr  0.080  0.218  0.000 (multiplicity 16)
Ga  0.000  0.000  0.250 (multiplicity 4)
Ga  0.162  0.338  0.500 (multiplicity 8)

Results
calculated density: 6.85 Mg/m³
offset from the most stable computed form: 0.000 eV/atom
DFT total energy: -6.991 eV per atom

No. 6
Below is a geometry-optimized RbPm2NpO8 structure, with properties calculated at the PBE level.

Cell: 4.083 8.274 5.428 Å, 90.00 96.33 90.00°
Space group P2/m (No. 10)
Symmetry-distinct sites (fractional):
Rb  0.000  0.000  0.000 (multiplicity 1)
Pm  0.500  0.278  0.500 (multiplicity 2)
Np  0.000  0.500  0.000 (multiplicity 1)
O  0.037  0.309  0.763 (multiplicity 4)
O  0.418  0.000  0.618 (multiplicity 2)
O  0.452  0.500  0.227 (multiplicity 2)

Results
formation energy from raw total energies: -2.587 eV/atom
calculated density: 6.75 Mg/m³
DFT total energy: -7.844 eV per atom

No. 7
Below is a geometry-optimized EuNb3 structure, with properties calculated at the PBE level.

Cell: 6.4272 6.4272 5.0497 Å, 90.00 90.00 120.00°
Space group P6_3/mmc (No. 194)
Symmetry-distinct sites (fractional):
Eu  0.3333  0.6667  0.2500 (multiplicity 2)
Nb  0.1435  0.2871  0.7500 (multiplicity 6)

Results
calculated density: 7.92 Mg/m³
DFT total energy: -9.553 eV per atom

No. 8
Below is a geometry-optimized Ge2SbPtCl structure, with properties calculated at the PBE level.

Cell: 5.026 5.026 4.633 Å, 90.00 90.00 90.00°
Space group P4/mmm (No. 123)
Symmetry-distinct sites (fractional):
Ge  0.000  0.500  0.000 (multiplicity 2)
Sb  0.000  0.000  0.500 (multiplicity 1)
Pt  0.500  0.500  0.500 (multiplicity 1)
Cl  0.500  0.500  0.000 (multiplicity 1)

Results
formation energy from raw total energies: 0.678 eV/atom
calculated density: 7.06 Mg/m³
DFT total energy: -3.571 eV per atom

No. 9
Below is a geometry-optimized ZrFeBr2 structure, with properties calculated at the PBE level.

Cell: 4.555 4.555 3.653 Å, 90.00 90.00 90.00°
Space group P4/mmm (No. 123)
Symmetry-distinct sites (fractional):
Zr  0.000  0.000  0.000 (multiplicity 1)
Fe  0.500  0.500  0.000 (multiplicity 1)
Br  0.000  0.500  0.500 (multiplicity 2)

Results
formation energy from raw total energies: 0.224 eV/atom
calculated density: 6.72 Mg/m³
offset from the most stable computed form: 0.670 eV/atom
DFT total energy: -4.865 eV per atom

No. 10
Below is a geometry-optimized In2Ga2Hg structure, with properties calculated at the PBE level.

Cell: 4.518 4.518 12.368 Å, 90.00 90.00 90.00°
Space group I4/mmm (No. 139)
Symmetry-distinct sites (fractional):
In  0.000  0.500  0.250 (multiplicity 4)
Ga  0.000  0.000  0.102 (multiplicity 4)
Hg  0.000  0.000  0.500 (multiplicity 2)

Results
calculated density: 7.49 Mg/m³
offset from the most stable computed form: 0.044 eV/atom
DFT total energy: -2.280 eV per atom

No. 11
Below is a geometry-optimized Pa2Al2ReSi4 structure, with properties calculated at the PBE level.

Cell: 6.092 6.092 8.447 Å, 90.00 90.00 90.00°
Space group I4/mmm (No. 139)
Symmetry-distinct sites (fractional):
Pa  0.000  0.500  0.250 (multiplicity 4)
Al  0.000  0.000  0.207 (multiplicity 4)
Re  0.000  0.000  0.500 (multiplicity 2)
Si  0.219  0.219  0.000 (multiplicity 8)

Results
formation energy from raw total energies: -0.411 eV/atom
calculated density: 8.63 Mg/m³
DFT total energy: -7.146 eV per atom

No. 12
Below is a geometry-optimized Zr2ReIr structure, with properties calculated at the PBE level.

Cell: 3.1533 3.1533 25.7650 Å, 90.00 90.00 120.00°
Space group R-3m (No. 166, hexagonal axes)
Symmetry-distinct sites (fractional):
Zr  0.0000  0.0000  0.2490 (multiplicity 6)
Re  0.0000  0.0000  0.5000 (multiplicity 3)
Ir  0.0000  0.0000  0.0000 (multiplicity 3)

Results
calculated density: 12.59 Mg/m³
DFT total energy: -9.727 eV per atom